Compound: CoSbH2Au
Source: Alexandria
Functional: PBE-GGA
Structure: optimized geometry

Summary:
- spin magnetization (μB per formula unit) = 2.228
- mass density (g cm⁻³) = 7.94
- energy (eV/cell) = -17.7

Unit cell a=3.7495 b=3.7495 c=5.6503 alpha=90.00 beta=90.00 gamma=90.00
Atoms (fractional coordinates):
Co: 0.0000 0.0000 0.0000
Sb: 0.5000 0.5000 0.5000
H: 0.0000 0.5000 0.5000
H: 0.5000 0.0000 0.5000
Au: 0.5000 0.5000 0.0000